## NbRhIN2 (PBE)

Data for a relaxed structure of NbRhIN2.

## Properties
space group: No. 123
size of the total moment: 1.69 μB/f.u.
D(E_F): 4.41 states/eV/cell
uncorrected energy: -27.9 eV for the cell shown
uncorrected formation energy: 1.543 eV per atom
E above lowest polymorph: 4.05 eV per formula unit

abc: 3.963 3.963 5.650
angles: 90.00 90.00 90.00
Element x y z (fractional)
Nb 0.000 0.000 0.000
Rh 0.500 0.500 0.500
I 0.500 0.500 0.000
N 0.000 0.500 0.500
N 0.500 0.000 0.500